The following is a PBE+U calculation of NiIrF3 after structural relaxation, from Alexandria via LeMat-Bulk.

a b c (Å): 4.197 4.197 4.197
angles (deg): 90.00 90.00 90.00
Site moments in Bohr magnetons follow the coordinates.
Fractional coordinates of all 5 atoms:
Ni (0.500, 0.500, 0.500)  -1.00
Ir (0.000, 0.000, 0.000)  0.02
F (0.000, 0.500, 0.000)  0.00
F (0.000, 0.000, 0.500)  0.00
F (0.500, 0.000, 0.000)  0.00

E ... -3.44 eV per atom
Calculated density ... 6.91 g/cm³
N(E_F) ... 9.08 states/eV per cell
Energy relative to the lowest polymorph listed for this composition ... 494 meV/atom